Record 1
DFT (PBE-GGA) results for a geometry-optimized RbSr2N structure.

Unit cell a=8.1052 b=8.1052 c=8.1052 alpha=120.04 beta=120.04 gamma=89.94
With the nearest neighbours (Å) after each atom.
Sites, in units of the cell vectors:
Rb 0.0000 0.0000 0.0000  12 Sr 4.73-4.77, 4 Rb 4.96, 4 N 4.96
Rb 0.7500 0.2500 0.5000  12 Sr 4.73-4.77, 4 Rb 4.96, 4 N 4.96
Sr 0.3722 0.6250 0.2472  2 N 2.48
Sr 0.3750 0.6222 0.7472  2 N 2.48
Sr 0.3778 0.1250 0.7528  2 N 2.48
Sr 0.8750 0.6278 0.2528  2 N 2.48
N 0.2500 0.7500 0.5000  4 Sr 2.48
N 0.5000 0.5000 0.0000  4 Sr 2.48

Values from the calculation:
Its symmetry is I-42d. The total magnetization is 0.000 μB/atom. The final energy comes out at -3.328 eV per atom.

---

Record 2
DFT (PBE-GGA) results for a geometry-optimized InSbPb structure.

Unit cell a=8.6058 b=8.4337 c=3.3242 alpha=81.68 beta=75.85 gamma=22.47
With the nearest neighbours (Å) after each atom.
Sites, in units of the cell vectors:
In 0.0000 0.0000 0.0000  2 Sb 3.27, 4 In 3.32, 2 Pb 3.49
Sb 0.3428 0.3428 0.6572  2 In 3.27, 4 Sb 3.32, 2 Pb 3.42
Pb 0.6737 0.6737 0.3263  4 Pb 3.32, 2 Sb 3.42, 2 In 3.49

Values from the calculation:
Its symmetry is Fmm2. The total magnetization is 0.000 μB/atom. The excess energy over the best structure of this formula in the dataset comes out at 70 meV/atom.

---

Record 3
DFT (PBE-GGA) results for a geometry-optimized KSnRh3 structure.

Unit cell a=4.9995 b=4.9995 c=4.9995 alpha=90.00 beta=90.00 gamma=90.00
With the nearest neighbours (Å) after each atom.
Sites, in units of the cell vectors:
K 0.0000 0.0000 0.0000  12 Rh 3.54
Sn 0.5000 0.5000 0.5000  6 Rh 2.50
Rh 0.0000 0.5000 0.5000  2 Sn 2.50
Rh 0.5000 0.0000 0.5000  2 Sn 2.50
Rh 0.5000 0.5000 0.0000  2 Sn 2.50

Values from the calculation:
Its symmetry is Pm-3m. The total magnetization is 0.277 μB/atom. The excess energy over the best structure of this formula in the dataset comes out at 0 meV/atom. The value obtained for the formation enthalpy at 0 K is 0.77 eV/atom.

---

Record 4
DFT (PBE-GGA) results for a geometry-optimized BaCaRu2 structure.

Unit cell a=3.2707 b=4.4995 c=6.8554 alpha=90.00 beta=90.59 gamma=90.00
With the nearest neighbours (Å) after each atom.
Sites, in units of the cell vectors:
Ba 0.0000 0.0000 0.0000  2 Ba 3.27, 2 Ca 3.43, 8 Ru 3.57-3.60
Ca 0.0000 0.0000 0.5000  8 Ru 3.01-3.02, 2 Ca 3.27
Ru 0.4972 0.5000 0.3300  1 Ru 2.33
Ru 0.5028 0.5000 0.6700  1 Ru 2.33

Values from the calculation:
Its symmetry is P2/m. The total magnetization is 0.286 μB/atom. The excess energy over the best structure of this formula in the dataset comes out at 433 meV/atom. The value obtained for the formation enthalpy at 0 K is 0.60 eV/atom.

---

Record 5
DFT (PBE-GGA) results for a geometry-optimized YIn2Ag2 structure.

Unit cell a=8.0681 b=8.0681 c=3.5516 alpha=90.00 beta=90.00 gamma=90.00
With the nearest neighbours (Å) after each atom.
Sites, in units of the cell vectors:
Y 0.0000 0.0000 0.0000  4 Ag 3.20, 8 In 3.46, 2 Y 3.55
Y 0.5000 0.5000 0.0000  4 Ag 3.20, 8 In 3.46, 2 Y 3.55
In 0.1779 0.3221 0.5000  6 Ag 2.89-3.04
In 0.3221 0.8221 0.5000  6 Ag 2.89-3.04
In 0.6779 0.1779 0.5000  6 Ag 2.89-3.04
In 0.8221 0.6779 0.5000  6 Ag 2.89-3.04
Ag 0.1221 0.6221 0.0000  1 Ag 2.79, 6 In 2.89-3.04
Ag 0.3779 0.1221 0.0000  1 Ag 2.79, 6 In 2.89-3.04
Ag 0.6221 0.8779 0.0000  1 Ag 2.79, 6 In 2.89-3.04
Ag 0.8779 0.3779 0.0000  1 Ag 2.79, 6 In 2.89-3.04

Values from the calculation:
Its symmetry is P4/mbm. The total magnetization is 0.000 μB/atom. The excess energy over the best structure of this formula in the dataset comes out at 47 meV/atom. The value obtained for the formation enthalpy at 0 K is -0.15 eV/atom.

---

Record 6
DFT (PBE-GGA) results for a geometry-optimized KTi2I7 structure.

Unit cell a=8.8753 b=8.8753 c=5.5094 alpha=90.00 beta=90.00 gamma=117.68
With the nearest neighbours (Å) after each atom.
Sites, in units of the cell vectors:
K 0.0000 0.0000 0.0000  8 I 3.91
Ti 0.2992 0.7008 0.5000  7 I 2.76-3.05
Ti 0.7008 0.2992 0.5000  7 I 2.76-3.05
I 0.0467 0.3310 0.5000  2 Ti 2.95-2.99
I 0.3024 0.6976 0.0000  2 Ti 2.76
I 0.3310 0.0467 0.5000  2 Ti 2.95-2.99
I 0.5000 0.5000 0.5000  2 Ti 3.05
I 0.6690 0.9533 0.5000  2 Ti 2.95-2.99
I 0.6976 0.3024 0.0000  2 Ti 2.76
I 0.9533 0.6690 0.5000  2 Ti 2.95-2.99

Values from the calculation:
Its symmetry is Cmmm. The total magnetization is 0.200 μB/atom. The final energy comes out at -3.495 eV per atom.

---

Record 7
DFT (PBE-GGA) results for a geometry-optimized KAs3Br structure.

Unit cell a=5.2969 b=5.2969 c=5.2969 alpha=90.00 beta=90.00 gamma=90.00
With the nearest neighbours (Å) after each atom.
Sites, in units of the cell vectors:
K 0.0000 0.0000 0.0000  12 As 3.75
As 0.0000 0.5000 0.5000  2 Br 2.65
As 0.5000 0.0000 0.5000  2 Br 2.65
As 0.5000 0.5000 0.0000  2 Br 2.65
Br 0.5000 0.5000 0.5000  6 As 2.65

Values from the calculation:
Its symmetry is Pm-3m. The total magnetization is 0.000 μB/atom. The excess energy over the best structure of this formula in the dataset comes out at 0 meV/atom.

---

Record 8
DFT (PBE-GGA) results for a geometry-optimized Na3CdTe structure.

Unit cell a=5.9270 b=5.9270 c=5.9270 alpha=90.00 beta=90.00 gamma=90.00
With the nearest neighbours (Å) after each atom.
Sites, in units of the cell vectors:
Na 0.0000 0.0000 0.5000  2 Te 2.96
Na 0.0000 0.5000 0.0000  2 Te 2.96
Na 0.5000 0.0000 0.0000  2 Te 2.96
Cd 0.5000 0.5000 0.5000  12 Na 4.19
Te 0.0000 0.0000 0.0000  6 Na 2.96

Values from the calculation:
Its symmetry is Pm-3m. The total magnetization is 0.000 μB/atom. The excess energy over the best structure of this formula in the dataset comes out at 0 meV/atom.

---

What is the total magnetization in the third record? 0.277 μB/atom

---

What did the first record say?
DFT (PBE-GGA) results for a geometry-optimized RbSr2N structure.

Unit cell a=8.1052 b=8.1052 c=8.1052 alpha=120.04 beta=120.04 gamma=89.94
With the nearest neighbours (Å) after each atom.
Sites, in units of the cell vectors:
Rb 0.0000 0.0000 0.0000  12 Sr 4.73-4.77, 4 Rb 4.96, 4 N 4.96
Rb 0.7500 0.2500 0.5000  12 Sr 4.73-4.77, 4 Rb 4.96, 4 N 4.96
Sr 0.3722 0.6250 0.2472  2 N 2.48
Sr 0.3750 0.6222 0.7472  2 N 2.48
Sr 0.3778 0.1250 0.7528  2 N 2.48
Sr 0.8750 0.6278 0.2528  2 N 2.48
N 0.2500 0.7500 0.5000  4 Sr 2.48
N 0.5000 0.5000 0.0000  4 Sr 2.48

Values from the calculation:
Its symmetry is I-42d. The total magnetization is 0.000 μB/atom. The final energy comes out at -3.328 eV per atom.

---

Which value of total magnetization does entry 5 give? 0.000 μB/atom